A PBEsol-optimized structure of TiGe2BS, computed with meta-GGA SCAN.

Computed properties:
Fermi-level density of states: 3.857 states/eV per cell
space group: P4/mmm
E_form (uncorrected): 0.38 eV per atom
total energy: -13.870 eV per atom

```
TiGe2BS
1.0
4.115 0.000 0.000
0.000 4.115 0.000
0.000 0.000 4.587
Ge B S Ti
2 1 1 1
Direct
0.000 0.500 0.000 Ge
0.500 0.000 0.000 Ge
0.000 0.000 0.000 B
0.500 0.500 0.500 S
0.000 0.000 0.500 Ti
```



A PBEsol-optimized structure of GeB3Se, computed with meta-GGA SCAN.

Computed properties:
Fermi-level density of states: 2.226 states/eV per cell
space group: Pm-3m
E_form (uncorrected): 1.82 eV per atom
total energy: -10.472 eV per atom

```
GeB3Se
1.0
-3.123 2.599 -0.828
-2.672 -3.168 0.134
-0.548 0.634 4.061
Ge B Se
1 3 1
Direct
0.000 0.000 0.000 Ge
0.000 0.000 0.500 B
0.500 0.000 0.000 B
0.000 0.500 0.000 B
0.500 0.500 0.500 Se
```



A PBEsol-optimized structure of SiGeB3, computed with meta-GGA SCAN.

Computed properties:
Fermi-level density of states: 2.526 states/eV per cell
space group: Pm-3m
E_form (uncorrected): 2.12 eV per atom
total energy: -8.157 eV per atom

```
SiGeB3
1.0
4.073 0.000 0.000
0.000 4.073 0.000
0.000 0.000 4.073
Si B Ge
1 3 1
Direct
0.500 0.500 0.500 Si
0.500 0.000 0.000 B
0.000 0.000 0.500 B
0.000 0.500 0.000 B
0.000 0.000 0.000 Ge
```



A PBEsol-optimized structure of Sn3GeB, computed with meta-GGA SCAN.

Computed properties:
Fermi-level density of states: 1.526 states/eV per cell
space group: Pm-3m
total energy: -26.094 eV per atom

```
Sn3GeB
1.0
4.756 0.000 0.000
0.000 4.756 0.000
0.000 0.000 4.756
Sn Ge B
3 1 1
Direct
0.000 0.000 0.500 Sn
0.500 0.000 0.000 Sn
0.000 0.500 0.000 Sn
0.500 0.500 0.500 Ge
0.000 0.000 0.000 B
```